Computed, not measured: crystalline SmHgAu at its relaxed geometry at the PBE level of DFT.

Cell lengths 8.385, 8.385, 8.385 Å; angles 23.56, 23.56, 23.56 degrees
Fractional coordinates of all 3 atoms:
1 Hg 0.915 0.915 0.915
2 Sm 0.041 0.041 0.041
3 Au 0.157 0.157 0.157

Output
* magnetization: 0.00 μB/f.u.
* crystal system: trigonal
* symmetry: R3m, No. 160
* total DFT energy (no corrections): -2.6196 eV per atom